Entry 1:
# YCuIr3 | Alexandria | PBE | relaxed
# E_form, eV/atom: 2.2147
# Calculated density, kg/m³: 9924
# Energy above the most stable polymorph in this dataset, meV per atom: 1615
data_YCuIr3
_chemical_formula_sum 'Y1 Cu1 Ir3'
_space_group_name_H-M_alt 'P m -3 m'
_space_group_IT_number 221
_space_group_name_Hall '-P 4 2 3'
_cell_length_a 4.960
_cell_length_b 4.960
_cell_length_c 4.960
_cell_angle_alpha 90.00
_cell_angle_beta 90.00
_cell_angle_gamma 90.00
loop_
_atom_site_label
_atom_site_type_symbol
_atom_site_fract_x
_atom_site_fract_y
_atom_site_fract_z
Y1 Y 0.000 0.000 0.000
Cu1 Cu 0.500 0.500 0.500
Ir1 Ir 0.000 0.000 0.500

=====

Entry 2:
# CaZn2Ru2C | Alexandria | PBE | relaxed
# E_form, eV/atom: -0.1443
# Calculated density, kg/m³: 6780
data_CaZn2Ru2C
_chemical_formula_sum 'Ca1 Zn2 Ru2 C1'
_space_group_name_H-M_alt 'P 4/m m m'
_space_group_IT_number 123
_space_group_name_Hall '-P 4 2'
_cell_length_a 4.099
_cell_length_b 4.099
_cell_length_c 5.612
_cell_angle_alpha 90.00
_cell_angle_beta 90.00
_cell_angle_gamma 90.00
loop_
_atom_site_label
_atom_site_type_symbol
_atom_site_fract_x
_atom_site_fract_y
_atom_site_fract_z
Ca1 Ca 0.000 0.000 0.000
Zn1 Zn 0.500 0.500 0.219
Ru1 Ru 0.000 0.500 0.500
C1 C 0.000 0.000 0.500

=====

Entry 3:
# As2RuSe | Alexandria | PBE | relaxed
# Calculated density, kg/m³: 7494
# Raw formation energy, eV/atom: 0.376
data_As2RuSe
_chemical_formula_sum 'As4 Ru2 Se2'
_space_group_name_H-M_alt 'C m m 2'
_space_group_IT_number 35
_cell_length_a 3.074
_cell_length_b 5.023
_cell_length_c 9.467
_cell_angle_alpha 90.00
_cell_angle_beta 90.00
_cell_angle_gamma 90.00
loop_
_space_group_symop_operation_xyz
'x,y,z'
'-x,-y,z'
'-x,y,z'
'x,-y,z'
'x+1/2,y+1/2,z'
'-x+1/2,-y+1/2,z'
'-x+1/2,y+1/2,z'
'x+1/2,-y+1/2,z'
loop_
_atom_site_label
_atom_site_type_symbol
_atom_site_fract_x
_atom_site_fract_y
_atom_site_fract_z
As1 As 0.000 0.000 0.000
As2 As 0.000 0.500 0.255
Ru1 Ru 0.000 0.000 0.468
Se1 Se 0.000 0.500 0.680

=====

Entry 4:
# La10PmSm4 | Alexandria | PBE | relaxed
# E_form, eV/atom: 0.3513
# Calculated density, kg/m³: 6316
data_La10PmSm4
_chemical_formula_sum 'La20 Pm2 Sm8'
_space_group_name_H-M_alt 'I 4/m'
_space_group_IT_number 87
_space_group_name_Hall '-I 4'
_cell_length_a 10.127
_cell_length_b 10.127
_cell_length_c 10.950
_cell_angle_alpha 90.00
_cell_angle_beta 90.00
_cell_angle_gamma 90.00
loop_
_atom_site_label
_atom_site_type_symbol
_atom_site_fract_x
_atom_site_fract_y
_atom_site_fract_z
La1 La 0.000 0.500 0.250
La2 La 0.114 0.763 0.169
Pm1 Pm 0.000 0.000 0.000
Sm1 Sm 0.061 0.728 0.500

=====

Entry 5:
# Tb2PuI | Alexandria | PBE | relaxed
# Calculated density, kg/m³: 9355
# Raw formation energy, eV/atom: -0.193
# Energy above the most stable polymorph in this dataset, meV per atom: 72
data_Tb2PuI
_chemical_formula_sum 'Tb2 Pu1 I1'
_space_group_name_H-M_alt 'P 4/m m m'
_space_group_IT_number 123
_space_group_name_Hall '-P 4 2'
_cell_length_a 3.605
_cell_length_b 3.605
_cell_length_c 9.409
_cell_angle_alpha 90.00
_cell_angle_beta 90.00
_cell_angle_gamma 90.00
loop_
_atom_site_label
_atom_site_type_symbol
_atom_site_fract_x
_atom_site_fract_y
_atom_site_fract_z
Tb1 Tb 0.000 0.000 0.249
Pu1 Pu 0.500 0.500 0.500
I1 I 0.500 0.500 0.000

=====

Entry 6:
# Sm2Er2Tm2Sc | Alexandria | PBE | relaxed
# E_form, eV/atom: 0.2427
# Calculated density, kg/m³: 7428
data_Sm2Er2Tm2Sc
_chemical_formula_sum 'Sm4 Er4 Tm4 Sc2'
_space_group_name_H-M_alt 'C 1 2/m 1'
_space_group_IT_number 12
_cell_length_a 16.051
_cell_length_b 3.435
_cell_length_c 11.452
_cell_angle_alpha 90.00
_cell_angle_beta 133.87
_cell_angle_gamma 90.00
loop_
_space_group_symop_operation_xyz
'x,y,z'
'-x,-y,-z'
'-x,y,-z'
'x,-y,z'
'x+1/2,y+1/2,z'
'-x+1/2,-y+1/2,-z'
'-x+1/2,y+1/2,-z'
'x+1/2,-y+1/2,z'
loop_
_atom_site_label
_atom_site_type_symbol
_atom_site_fract_x
_atom_site_fract_y
_atom_site_fract_z
Sm1 Sm 0.136 0.000 0.340
Er1 Er 0.176 0.000 0.681
Tm1 Tm 0.143 0.000 0.947
Sc1 Sc 0.000 0.500 0.000

=====

Entry 7:
# TiTl2O | Alexandria | PBE | relaxed
# Calculated density, kg/m³: 9776
# Raw formation energy, eV/atom: 0.051
# Energy above the most stable polymorph in this dataset, meV per atom: 0
data_TiTl2O
_chemical_formula_sum 'Ti4 Tl8 O4'
_space_group_name_H-M_alt 'I -4 2 d'
_space_group_IT_number 122
_space_group_name_Hall 'I -4 2bw'
_cell_length_a 7.268
_cell_length_b 7.268
_cell_length_c 6.078
_cell_angle_alpha 90.00
_cell_angle_beta 90.00
_cell_angle_gamma 90.00
loop_
_atom_site_label
_atom_site_type_symbol
_atom_site_fract_x
_atom_site_fract_y
_atom_site_fract_z
Ti1 Ti 0.000 0.000 0.000
Tl1 Tl 0.195 0.250 0.625
O1 O 0.000 0.000 0.500

=====

Entry 8:
# Ca2AlOs | Alexandria | PBE | relaxed
# E_form, eV/atom: 0.2933
# Calculated density, kg/m³: 3817
data_Ca2AlOs
_chemical_formula_sum 'Ca8 Al4 Os4'
_space_group_name_H-M_alt 'I -4 2 d'
_space_group_IT_number 122
_space_group_name_Hall 'I -4 2bw'
_cell_length_a 10.378
_cell_length_b 10.378
_cell_length_c 4.805
_cell_angle_alpha 90.00
_cell_angle_beta 90.00
_cell_angle_gamma 90.00
loop_
_atom_site_label
_atom_site_type_symbol
_atom_site_fract_x
_atom_site_fract_y
_atom_site_fract_z
Ca1 Ca 0.083 0.250 0.125
Al1 Al 0.000 0.000 0.500
Os1 Os 0.000 0.000 0.000

=====

Entry 9:
# Ca2PRh | Alexandria | PBE | relaxed
# E_form, eV/atom: -0.8034
# Calculated density, kg/m³: 3320
data_Ca2PRh
_chemical_formula_sum 'Ca6 P3 Rh3'
_space_group_name_H-M_alt 'R 3 m'
_space_group_IT_number 160
_space_group_name_Hall 'R 3 -2"'
_cell_length_a 4.0672
_cell_length_b 4.0672
_cell_length_c 22.4158
_cell_angle_alpha 90.00
_cell_angle_beta 90.00
_cell_angle_gamma 120.00
loop_
_atom_site_label
_atom_site_type_symbol
_atom_site_fract_x
_atom_site_fract_y
_atom_site_fract_z
Ca1 Ca 0.0000 0.0000 0.0000
Ca2 Ca 0.0000 0.0000 0.1702
P1 P 0.0000 0.0000 0.7524
Rh1 Rh 0.0000 0.0000 0.4179

=====

Entry 10:
# SrLi2TeS4 | Alexandria | PBE | relaxed
# Calculated density, kg/m³: 2967
# Raw formation energy, eV/atom: -0.992
data_SrLi2TeS4
_chemical_formula_sum 'Sr4 Li8 Te4 S16'
_space_group_name_H-M_alt 'C 1 2 1'
_space_group_IT_number 5
_cell_length_a 10.643
_cell_length_b 12.016
_cell_length_c 8.013
_cell_angle_alpha 90.00
_cell_angle_beta 128.68
_cell_angle_gamma 90.00
loop_
_space_group_symop_operation_xyz
'x,y,z'
'-x,y,-z'
'x+1/2,y+1/2,z'
'-x+1/2,y+1/2,-z'
loop_
_atom_site_label
_atom_site_type_symbol
_atom_site_fract_x
_atom_site_fract_y
_atom_site_fract_z
Sr1 Sr 0.244 0.000 0.218
Li1 Li 0.047 0.819 0.356
Li2 Li 0.185 0.037 0.646
Te1 Te 0.064 0.272 0.302
S1 S 0.013 0.012 0.750
S2 S 0.057 0.475 0.293
S3 S 0.233 0.750 0.745
S4 S 0.242 0.249 0.686

=====

Entry 11:
# Er6AlTl5 | Alexandria | PBE | relaxed
# E_form, eV/atom: -0.3097
# Calculated density, kg/m³: 10859
data_Er6AlTl5
_chemical_formula_sum 'Er12 Al2 Tl10'
_space_group_name_H-M_alt 'C 1 2/m 1'
_space_group_IT_number 12
_cell_length_a 16.824
_cell_length_b 7.384
_cell_length_c 5.321
_cell_angle_alpha 90.00
_cell_angle_beta 108.25
_cell_angle_gamma 90.00
loop_
_space_group_symop_operation_xyz
'x,y,z'
'-x,-y,-z'
'-x,y,-z'
'x,-y,z'
'x+1/2,y+1/2,z'
'-x+1/2,-y+1/2,-z'
'-x+1/2,y+1/2,-z'
'x+1/2,-y+1/2,z'
loop_
_atom_site_label
_atom_site_type_symbol
_atom_site_fract_x
_atom_site_fract_y
_atom_site_fract_z
Er1 Er 0.000 0.241 0.000
Er2 Er 0.163 0.245 0.663
Al1 Al 0.000 0.000 0.500
Tl1 Tl 0.000 0.500 0.500
Tl2 Tl 0.167 0.500 0.166
Tl3 Tl 0.170 0.000 0.170

=====

Entry 12:
# Ba2YZn | Alexandria | PBE | relaxed
# E_form, eV/atom: 0.1779
# Calculated density, kg/m³: 4589
data_Ba2YZn
_chemical_formula_sum 'Ba2 Y1 Zn1'
_space_group_name_H-M_alt 'P 4/m m m'
_space_group_IT_number 123
_space_group_name_Hall '-P 4 2'
_cell_length_a 6.098
_cell_length_b 6.098
_cell_length_c 4.174
_cell_angle_alpha 90.00
_cell_angle_beta 90.00
_cell_angle_gamma 90.00
loop_
_atom_site_label
_atom_site_type_symbol
_atom_site_fract_x
_atom_site_fract_y
_atom_site_fract_z
Ba1 Ba 0.000 0.500 0.000
Y1 Y 0.000 0.000 0.500
Zn1 Zn 0.500 0.500 0.500

=====

> Among the records above, which one has the highest calculated density?

Er6AlTl5

=====

> Which of these has the lowest calculated density?

SrLi2TeS4

=====

> Which value of calculated density does entry 7 give?

9776 kg/m³

=====

> The lowest calculated density belongs to which entry?

SrLi2TeS4